No. 1
Here is crystalline Sr6Cd5Ge at its relaxed geometry from the Alexandria database. Energies are from GGA-PBE.

The space group is Cmmm (No. 65) and the conventional cell measures 5.6534, 17.0212 and 8.0865 Å, with angles of 90.00, 90.00 and 90.00 degrees. The inequivalent atoms are Sr at (0.0000, 0.0000, 0.2397), Sr at (0.0000, 0.3387, 0.2465), Cd at (0.0000, 0.1695, 0.5000), Cd at (0.0000, 0.1717, 0.0000), Cd at (0.0000, 0.5000, 0.5000) and Ge at (0.0000, 0.5000, 0.0000).

The calculation puts the volume at 778.15 Å³/cell. The uncorrected energy is -0.0725 hartree per atom.

=====

No. 2
Here is crystalline SrCd2Ge at its relaxed geometry from the Alexandria database. Energies are from GGA-PBE.

The space group is P4/nmm (No. 129, origin choice 2) and the conventional cell measures 4.4556, 4.4556 and 10.7096 Å, with angles of 90.00, 90.00 and 90.00 degrees. The inequivalent atoms are Sr at (0.2500, 0.2500, 0.2475), Cd at (0.2500, 0.2500, 0.9403), Cd at (0.2500, 0.7500, 0.5000) and Ge at (0.2500, 0.2500, 0.6666).

The calculation puts the volume at 212.61 Å³/cell. The uncorrected energy is -0.0868 hartree per atom.

=====

No. 3
Here is crystalline SrCd2Ge at its relaxed geometry from the Alexandria database. Energies are from GGA-PBE.

The space group is R-3m (No. 166, hexagonal axes) and the conventional cell measures 4.6708, 4.6708 and 24.1487 Å, with angles of 90.00, 90.00 and 120.00 degrees. The inequivalent atoms are Sr at (0.0000, 0.0000, 0.0000), Cd at (0.0000, 0.0000, 0.1347) and Ge at (0.0000, 0.0000, 0.5000).

The calculation puts the volume at 456.26 Å³/cell. The uncorrected energy is -0.0657 hartree per atom.

=====

No. 4
Here is crystalline SrCd4Ge2 at its relaxed geometry from the Alexandria database. Energies are from GGA-PBE.

The space group is Cmmm (No. 65) and the conventional cell measures 4.4942, 16.5940 and 4.4645 Å, with angles of 90.00, 90.00 and 90.00 degrees. The inequivalent atoms are Sr at (0.0000, 0.0000, 0.0000), Cd at (0.0000, 0.1810, 0.5000), Cd at (0.0000, 0.3137, 0.0000) and Ge at (0.0000, 0.4222, 0.5000).

The calculation puts the volume at 332.95 Å³/cell. The uncorrected energy is -0.0848 hartree per atom.

=====

No. 5
Here is crystalline SrCd6Ge2 at its relaxed geometry from the Alexandria database. Energies are from GGA-PBE.

The space group is P4/mmm (No. 123) and the conventional cell measures 4.4744, 4.4744 and 10.5244 Å, with angles of 90.00, 90.00 and 90.00 degrees. The inequivalent atoms are Sr at (0.0000, 0.0000, 0.0000), Cd at (0.0000, 0.0000, 0.5000), Cd at (0.0000, 0.5000, 0.2908), Cd at (0.5000, 0.5000, 0.5000) and Ge at (0.5000, 0.5000, 0.1221).

The calculation puts the volume at 210.70 Å³/cell. The uncorrected energy is -0.0730 hartree per atom.

=====

No. 6
Here is crystalline Sr5Cd4Ge at its relaxed geometry from the Alexandria database. Energies are from GGA-PBE.

The space group is P4/mmm (No. 123) and the conventional cell measures 3.9790, 3.9790 and 20.3777 Å, with angles of 90.00, 90.00 and 90.00 degrees. The inequivalent atoms are Sr at (0.0000, 0.0000, 0.0000), Sr at (0.0000, 0.0000, 0.2048), Sr at (0.0000, 0.0000, 0.4103), Cd at (0.5000, 0.5000, 0.1013), Cd at (0.5000, 0.5000, 0.3058) and Ge at (0.5000, 0.5000, 0.5000).

The calculation puts the volume at 322.63 Å³/cell. The uncorrected energy is -0.0743 hartree per atom.

=====

No. 7
Here is crystalline SrCdGe at its relaxed geometry from the Alexandria database. Energies are from GGA-PBE.

The space group is I-4m2 (No. 119) and the conventional cell measures 4.5804, 4.5804 and 16.1603 Å, with angles of 90.00, 90.00 and 90.00 degrees. The inequivalent atoms are Sr at (0.0000, 0.0000, 0.0000), Sr at (0.0000, 0.5000, 0.2500), Cd at (0.0000, 0.5000, 0.6633) and Ge at (0.0000, 0.0000, 0.4224).

The calculation puts the volume at 339.04 Å³/cell. The uncorrected energy is -0.1034 hartree per atom.

=====

No. 8
Here is crystalline Sr2CdGe at its relaxed geometry from the Alexandria database. Energies are from GGA-PBE.

The space group is Immm (No. 71) and the conventional cell measures 3.7571, 6.4630 and 12.9927 Å, with angles of 90.00, 90.00 and 90.00 degrees. The inequivalent atoms are Sr at (0.0000, 0.0000, 0.2380), Cd at (0.0000, 0.0000, 0.5000) and Ge at (0.0000, 0.0000, 0.0000).

The calculation puts the volume at 315.49 Å³/cell. The uncorrected energy is -0.0646 hartree per atom.